No. 1
Below is an optimized crystal structure of FeNiBr3, with properties calculated at the PBE level.

Geometry as CIF:
```
data_FeNiBr3
_chemical_formula_sum 'Fe1 Ni1 Br3'
_cell_length_a 4.905
_cell_length_b 4.905
_cell_length_c 4.905
_cell_angle_alpha 90.00
_cell_angle_beta 90.00
_cell_angle_gamma 90.00
_space_group_name_H-M_alt 'P m -3 m'
_space_group_IT_number 221
_space_group_name_Hall '-P 4 2 3'
loop_
_atom_site_label
_atom_site_type_symbol
_atom_site_fract_x
_atom_site_fract_y
_atom_site_fract_z
Fe1 Fe 0.000 0.000 0.000
Ni1 Ni 0.500 0.500 0.500
Br1 Br 0.000 0.500 0.500
```

Values from the calculation:
The uncorrected formation energy is 196 kJ/mol of formula units. The size of the total moment comes out at 3.8 μB per formula unit.

=====

No. 2
Below is an optimized crystal structure of TePPdI2, with properties calculated at the PBE level.

Geometry as CIF:
```
data_TePPdI2
_chemical_formula_sum 'Te1 P1 Pd1 I2'
_cell_length_a 5.387
_cell_length_b 5.387
_cell_length_c 5.332
_cell_angle_alpha 90.00
_cell_angle_beta 90.00
_cell_angle_gamma 90.00
_space_group_name_H-M_alt 'P 4/m m m'
_space_group_IT_number 123
_space_group_name_Hall '-P 4 2'
loop_
_atom_site_label
_atom_site_type_symbol
_atom_site_fract_x
_atom_site_fract_y
_atom_site_fract_z
Te1 Te 0.000 0.000 0.000
P1 P 0.000 0.000 0.500
Pd1 Pd 0.500 0.500 0.000
I1 I 0.000 0.500 0.500
```

Values from the calculation:
The uncorrected formation energy is 336 kJ/mol of formula units. The size of the total moment comes out at 0.5 μB per formula unit.